Here is a geometry-optimized Pm12Sm2Ho structure from the Alexandria database. Energies are from PBE-GGA.

Output
Total DFT energy (no corrections) (eV/atom): -4.42
ΔE_f (eV/f.u.): 4.74
V (Å³ per cell): 1089

Geometry as CIF:
```
data_Pm12Sm2Ho
_symmetry_space_group_name_H-M 'P 4/n b m'
_symmetry_Int_Tables_number 125
_cell_length_a 6.548
_cell_length_b 6.548
_cell_length_c 25.404
_cell_angle_alpha 90.00
_cell_angle_beta 90.00
_cell_angle_gamma 90.00
loop_
_symmetry_equiv_pos_as_xyz
'x,y,z'
'-x,-y,-z'
'-y+1/2,x,z'
'y+1/2,-x,-z'
'-x+1/2,-y+1/2,z'
'x+1/2,y+1/2,-z'
'y,-x+1/2,z'
'-y,x+1/2,-z'
'x,-y+1/2,-z'
'-x,y+1/2,z'
'-y+1/2,-x+1/2,-z'
'y+1/2,x+1/2,z'
'-x+1/2,y,-z'
'x+1/2,-y,z'
'y,x,-z'
'-y,-x,z'
loop_
_atom_site_label
_atom_site_type_symbol
_atom_site_fract_x
_atom_site_fract_y
_atom_site_fract_z
_atom_site_occupancy
Pm1 Pm 0.065 0.565 0.114 1
Pm2 Pm 0.083 0.583 0.562 1
Pm3 Pm 0.250 0.250 0.214 1
Pm4 Pm 0.250 0.250 0.337 1
Sm1 Sm 0.250 0.750 0.269 1
Ho1 Ho 0.250 0.750 0.000 1
```